Entry 1:
A PBEsol-optimized structure of CaSbPtCl2. Source: the Alexandria database, functional meta-GGA SCAN.

The structure in CIF format:
```
data_CaSbPtCl2
_symmetry_space_group_name_H-M 'P 4/m m m'
_symmetry_Int_Tables_number 123
_symmetry_space_group_name_Hall '-P 4 2'
_cell_length_a 5.2855
_cell_length_b 5.2855
_cell_length_c 5.0199
_cell_angle_alpha 90.00
_cell_angle_beta 90.00
_cell_angle_gamma 90.00
loop_
_atom_site_label
_atom_site_type_symbol
_atom_site_fract_x
_atom_site_fract_y
_atom_site_fract_z
Ca1 Ca 0.0000 0.0000 0.0000
Sb1 Sb 0.5000 0.5000 0.5000
Pt1 Pt 0.5000 0.5000 0.0000
Cl1 Cl 0.0000 0.5000 0.5000
```

For the raw total energy, the calculation gives -27.2114 eV per atom.

=====

Entry 2:
A PBEsol-optimized structure of CaSiPtCl2. Source: the Alexandria database, functional meta-GGA SCAN.

The structure in CIF format:
```
data_CaSiPtCl2
_symmetry_space_group_name_H-M 'P 4/m m m'
_symmetry_Int_Tables_number 123
_symmetry_space_group_name_Hall '-P 4 2'
_cell_length_a 4.7796
_cell_length_b 4.7796
_cell_length_c 10.7069
_cell_angle_alpha 90.00
_cell_angle_beta 90.00
_cell_angle_gamma 90.00
loop_
_atom_site_label
_atom_site_type_symbol
_atom_site_fract_x
_atom_site_fract_y
_atom_site_fract_z
Ca1 Ca 0.0000 0.0000 0.0000
Si1 Si 0.0000 0.0000 0.5000
Pt1 Pt 0.5000 0.5000 0.5000
Cl1 Cl 0.0000 0.5000 0.0000
```

For the raw total energy, the calculation gives -20.9193 eV per atom.

=====

Entry 3:
A PBEsol-optimized structure of Rb2CaCl. Source: the Alexandria database, functional meta-GGA SCAN.

The structure in CIF format:
```
data_Rb2CaCl
_symmetry_space_group_name_H-M 'F m -3 m'
_symmetry_Int_Tables_number 225
_symmetry_space_group_name_Hall '-F 4 2 3'
_cell_length_a 9.3538
_cell_length_b 9.3538
_cell_length_c 9.3538
_cell_angle_alpha 90.00
_cell_angle_beta 90.00
_cell_angle_gamma 90.00
loop_
_atom_site_label
_atom_site_type_symbol
_atom_site_fract_x
_atom_site_fract_y
_atom_site_fract_z
Rb1 Rb 0.2500 0.2500 0.2500
Ca1 Ca 0.0000 0.0000 0.0000
Cl1 Cl 0.0000 0.0000 0.5000
```

For the raw total energy, the calculation gives -15.1293 eV per atom.

=====

Entry 4:
A PBEsol-optimized structure of Rb3Ca2Cl7. Source: the Alexandria database, functional meta-GGA SCAN.

The structure in CIF format:
```
data_Rb3Ca2Cl7
_symmetry_space_group_name_H-M 'I 4/m m m'
_symmetry_Int_Tables_number 139
_symmetry_space_group_name_Hall '-I 4 2'
_cell_length_a 5.3114
_cell_length_b 5.3114
_cell_length_c 26.7695
_cell_angle_alpha 90.00
_cell_angle_beta 90.00
_cell_angle_gamma 90.00
loop_
_atom_site_label
_atom_site_type_symbol
_atom_site_fract_x
_atom_site_fract_y
_atom_site_fract_z
Rb1 Rb 0.0000 0.0000 0.0000
Rb2 Rb 0.0000 0.0000 0.1822
Ca1 Ca 0.0000 0.0000 0.3993
Cl1 Cl 0.0000 0.0000 0.3006
Cl2 Cl 0.0000 0.0000 0.5000
Cl3 Cl 0.0000 0.5000 0.0963
```

For the raw total energy, the calculation gives -13.8882 eV per atom.

=====

Entry 5:
A PBEsol-optimized structure of CaReCl4. Source: the Alexandria database, functional meta-GGA SCAN.

The structure in CIF format:
```
data_CaReCl4
_symmetry_space_group_name_H-M 'F -4 3 m'
_symmetry_Int_Tables_number 216
_symmetry_space_group_name_Hall 'F -4 2 3'
_cell_length_a 8.2585
_cell_length_b 8.2585
_cell_length_c 8.2585
_cell_angle_alpha 90.00
_cell_angle_beta 90.00
_cell_angle_gamma 90.00
loop_
_atom_site_label
_atom_site_type_symbol
_atom_site_fract_x
_atom_site_fract_y
_atom_site_fract_z
Ca1 Ca 0.0000 0.0000 0.0000
Re1 Re 0.2500 0.2500 0.7500
Cl1 Cl 0.1251 0.1251 0.3749
```

For the raw total energy, the calculation gives -18.2750 eV per atom.

=====

Entry 6:
A PBEsol-optimized structure of CaReCl2. Source: the Alexandria database, functional meta-GGA SCAN.

The structure in CIF format:
```
data_CaReCl2
_symmetry_space_group_name_H-M 'I -4 m 2'
_symmetry_Int_Tables_number 119
_symmetry_space_group_name_Hall 'I -4 -2'
_cell_length_a 3.6992
_cell_length_b 3.6992
_cell_length_c 11.5901
_cell_angle_alpha 90.00
_cell_angle_beta 90.00
_cell_angle_gamma 90.00
loop_
_atom_site_label
_atom_site_type_symbol
_atom_site_fract_x
_atom_site_fract_y
_atom_site_fract_z
Ca1 Ca 0.0000 0.0000 0.0000
Re1 Re 0.0000 0.5000 0.7500
Cl1 Cl 0.0000 0.0000 0.5000
Cl2 Cl 0.0000 0.5000 0.2500
```

For the energy above the lowest structure with this stoichiometry, the calculation gives 0.416 eV per atom. For the raw total energy, the calculation gives -24.0664 eV per atom.

=====

Entry 7:
A PBEsol-optimized structure of CaReCl2. Source: the Alexandria database, functional meta-GGA SCAN.

The structure in CIF format:
```
data_CaReCl2
_symmetry_space_group_name_H-M 'I m m m'
_symmetry_Int_Tables_number 71
_symmetry_space_group_name_Hall '-I 2 2'
_cell_length_a 3.5368
_cell_length_b 4.7844
_cell_length_c 10.5686
_cell_angle_alpha 90.00
_cell_angle_beta 90.00
_cell_angle_gamma 90.00
loop_
_atom_site_label
_atom_site_type_symbol
_atom_site_fract_x
_atom_site_fract_y
_atom_site_fract_z
Ca1 Ca 0.0000 0.0000 0.0000
Re1 Re 0.0000 0.0000 0.5000
Cl1 Cl 0.0000 0.5000 0.1530
```

For the energy above the lowest structure with this stoichiometry, the calculation gives 0.000 eV per atom. For the raw total energy, the calculation gives -24.4820 eV per atom.

=====

Entry 8:
A PBEsol-optimized structure of Ca3RhCl. Source: the Alexandria database, functional meta-GGA SCAN.

The structure in CIF format:
```
data_Ca3RhCl
_symmetry_space_group_name_H-M 'P m -3 m'
_symmetry_Int_Tables_number 221
_symmetry_space_group_name_Hall '-P 4 2 3'
_cell_length_a 5.4049
_cell_length_b 5.4049
_cell_length_c 5.4049
_cell_angle_alpha 90.00
_cell_angle_beta 90.00
_cell_angle_gamma 90.00
loop_
_atom_site_label
_atom_site_type_symbol
_atom_site_fract_x
_atom_site_fract_y
_atom_site_fract_z
Ca1 Ca 0.0000 0.0000 0.5000
Rh1 Rh 0.0000 0.0000 0.0000
Cl1 Cl 0.5000 0.5000 0.5000
```

For the energy above the lowest structure with this stoichiometry, the calculation gives 0.000 eV per atom. For the raw total energy, the calculation gives -14.7679 eV per atom.

=====

Entry 9:
A PBEsol-optimized structure of CaRh2Cl. Source: the Alexandria database, functional meta-GGA SCAN.

The structure in CIF format:
```
data_CaRh2Cl
_symmetry_space_group_name_H-M 'P 4 m m'
_symmetry_Int_Tables_number 99
_symmetry_space_group_name_Hall 'P 4 -2'
_cell_length_a 3.3302
_cell_length_b 3.3302
_cell_length_c 7.0328
_cell_angle_alpha 90.00
_cell_angle_beta 90.00
_cell_angle_gamma 90.00
loop_
_atom_site_label
_atom_site_type_symbol
_atom_site_fract_x
_atom_site_fract_y
_atom_site_fract_z
Ca1 Ca 0.0000 0.0000 0.0000
Rh1 Rh 0.0000 0.0000 0.5874
Rh2 Rh 0.5000 0.5000 0.7049
Cl1 Cl 0.5000 0.5000 0.2074
```

For the energy above the lowest structure with this stoichiometry, the calculation gives 0.000 eV per atom. For the raw total energy, the calculation gives -21.8503 eV per atom.

=====

Entry 10:
A PBEsol-optimized structure of CaRh2Cl. Source: the Alexandria database, functional meta-GGA SCAN.

The structure in CIF format:
```
data_CaRh2Cl
_symmetry_space_group_name_H-M 'C 1 m 1'
_symmetry_Int_Tables_number 8
_symmetry_space_group_name_Hall 'C -2y'
_cell_length_a 7.3587
_cell_length_b 3.5868
_cell_length_c 6.6757
_cell_angle_alpha 90.00
_cell_angle_beta 108.65
_cell_angle_gamma 90.00
loop_
_atom_site_label
_atom_site_type_symbol
_atom_site_fract_x
_atom_site_fract_y
_atom_site_fract_z
Ca1 Ca 0.0000 0.0000 0.0000
Rh1 Rh 0.2271 0.5000 0.4072
Rh2 Rh 0.3895 0.0000 0.3000
Cl1 Cl 0.2383 0.0000 0.7396
```

For the energy above the lowest structure with this stoichiometry, the calculation gives 0.125 eV per atom. For the raw total energy, the calculation gives -21.7256 eV per atom.

=====

Entry 11:
A PBEsol-optimized structure of CaRhCl2. Source: the Alexandria database, functional meta-GGA SCAN.

The structure in CIF format:
```
data_CaRhCl2
_symmetry_space_group_name_H-M 'P 4 m m'
_symmetry_Int_Tables_number 99
_symmetry_space_group_name_Hall 'P 4 -2'
_cell_length_a 3.4251
_cell_length_b 3.4251
_cell_length_c 6.8922
_cell_angle_alpha 90.00
_cell_angle_beta 90.00
_cell_angle_gamma 90.00
loop_
_atom_site_label
_atom_site_type_symbol
_atom_site_fract_x
_atom_site_fract_y
_atom_site_fract_z
Ca1 Ca 0.0000 0.0000 0.0000
Rh1 Rh 0.5000 0.5000 0.6769
Cl1 Cl 0.0000 0.0000 0.6206
Cl2 Cl 0.5000 0.5000 0.1988
```

For the raw total energy, the calculation gives -15.8909 eV per atom.

=====

Entry 12:
A PBEsol-optimized structure of CaRuCl2. Source: the Alexandria database, functional meta-GGA SCAN.

The structure in CIF format:
```
data_CaRuCl2
_symmetry_space_group_name_H-M 'P 4/m m m'
_symmetry_Int_Tables_number 123
_symmetry_space_group_name_Hall '-P 4 2'
_cell_length_a 3.3810
_cell_length_b 3.3810
_cell_length_c 6.3082
_cell_angle_alpha 90.00
_cell_angle_beta 90.00
_cell_angle_gamma 90.00
loop_
_atom_site_label
_atom_site_type_symbol
_atom_site_fract_x
_atom_site_fract_y
_atom_site_fract_z
Ca1 Ca 0.0000 0.0000 0.0000
Ru1 Ru 0.0000 0.0000 0.5000
Cl1 Cl 0.5000 0.5000 0.2486
```

For the raw total energy, the calculation gives -15.5294 eV per atom.

=====

What spin magnetization values result from the calculations? In sequence: 0.0 0.1 0.9 0.0 4.9 2.8 1.0 0.0 1.0 0.9 0.5 2.1 μB/f.u..
What formation energy (no corrections) values result from the calculations? In sequence: -0.60 0.25 -0.35 -2.44 0.50 0.11 -0.30 -0.62 -0.55 -0.43 -1.04 -0.42 eV/atom.